Here is crystalline LaTa2NbSe at its relaxed geometry from Alexandria via LeMat-Bulk. Energies are from PBE-GGA.

Unit cell a=4.751 b=5.444 c=4.751 alpha=90.00 beta=90.00 gamma=90.00
Element x y z (fractional)
Ta 0.500 0.000 0.000
Nb 0.500 0.500 0.500
Se 0.000 0.000 0.000
Ta 0.000 0.000 0.500
La 0.000 0.500 0.000

Calculated values
Final energy = -7.639 eV/atom

=====

Here is crystalline LaNb2Si2 at its relaxed geometry from Alexandria via LeMat-Bulk. Energies are from PBE-GGA.

Unit cell a=4.867 b=4.867 c=5.652 alpha=64.50 beta=64.50 gamma=90.00
Element x y z (fractional)
Nb 0.352 0.352 0.297
Si 0.250 0.750 0.500
La 0.000 0.000 0.000
Si 0.750 0.250 0.500
Nb 0.648 0.648 0.703

Calculated values
Energy above the most stable polymorph in this dataset = 133 meV/atom
Final energy = -7.397 eV/atom

=====

Here is crystalline La3NbSi at its relaxed geometry from Alexandria via LeMat-Bulk. Energies are from PBE-GGA.

Unit cell a=5.432 b=5.432 c=5.432 alpha=90.00 beta=90.00 gamma=90.00
Element x y z (fractional)
La 0.000 0.500 0.000
La 0.500 0.000 0.000
Si 0.500 0.500 0.500
Nb 0.000 0.000 0.000
La 0.000 0.000 0.500

Calculated values
Energy above the most stable polymorph in this dataset = 0 meV/atom
Final energy = -5.664 eV/atom

=====

Here is crystalline LaNb3Si at its relaxed geometry from Alexandria via LeMat-Bulk. Energies are from PBE-GGA.

Unit cell a=4.894 b=4.894 c=4.894 alpha=90.00 beta=90.00 gamma=90.00
Element x y z (fractional)
Nb 0.000 0.500 0.000
Si 0.500 0.500 0.500
La 0.000 0.000 0.000
Nb 0.500 0.000 0.000
Nb 0.000 0.000 0.500

Calculated values
Energy above the most stable polymorph in this dataset = 1524 meV/atom
Final energy = -6.122 eV/atom

=====

Here is crystalline LaNb2Si2 at its relaxed geometry from Alexandria via LeMat-Bulk. Energies are from PBE-GGA.

Unit cell a=7.416 b=7.416 c=3.444 alpha=90.00 beta=90.00 gamma=90.00
Element x y z (fractional)
La 0.500 0.500 0.000
Nb 0.837 0.337 0.500
Nb 0.337 0.163 0.500
La 0.000 0.000 0.000
Si 0.119 0.381 0.000
Si 0.881 0.619 0.000
Si 0.619 0.119 0.000
Nb 0.163 0.663 0.500
Si 0.381 0.881 0.000
Nb 0.663 0.837 0.500

Calculated values
Energy above the most stable polymorph in this dataset = 0 meV/atom
Final energy = -7.530 eV/atom

=====

Here is crystalline LaNbSi at its relaxed geometry from Alexandria via LeMat-Bulk. Energies are from PBE-GGA.

Unit cell a=4.053 b=4.053 c=8.885 alpha=103.18 beta=103.18 gamma=90.00
Element x y z (fractional)
La 0.674 0.674 0.349
Nb 0.000 0.500 0.000
La 0.326 0.326 0.651
Si 0.111 0.111 0.222
Si 0.889 0.889 0.778
Nb 0.500 0.000 0.000

Calculated values
Final energy = -7.336 eV/atom

=====

Let's list uncorrected formation energy in order: 798, -215, 391, 1990, -348, -529 meV/atom.
Let's list calculated volume in order: 24.58, 21.24, 32.06, 23.44, 18.94, 23.03 Å³ per atom.